# 1
K2TcF6 (SCAN, PBEsol geometry); formation energy (no corrections) = -2.816 eV/atom; electronic total energy = -10.92 eV per atom
1.0
5.778 0.000 0.000
-2.889 5.004 0.000
0.000 0.000 4.586
K Tc F
2 1 6
Direct
0.333 0.667 0.293
0.667 0.333 0.707
0.000 0.000 0.000
0.163 0.325 0.770
0.163 0.837 0.770
0.325 0.163 0.230
0.675 0.837 0.770
0.837 0.163 0.230
0.837 0.675 0.230

=====

# 2
KTe2F2 (SCAN, PBEsol geometry); formation energy (no corrections) = -1.114 eV/atom; polymorph energy (0 for the lowest one) = 63 meV per atom; electronic total energy = -19.10 eV per atom
1.0
8.396 0.000 0.000
0.000 8.396 0.000
0.000 0.000 3.106
K Te F
2 4 4
Direct
0.000 0.000 0.000
0.500 0.500 0.000
0.115 0.385 0.500
0.385 0.885 0.500
0.615 0.115 0.500
0.885 0.615 0.500
0.213 0.713 0.000
0.287 0.213 0.000
0.713 0.787 0.000
0.787 0.287 0.000

=====

# 3
KTeF5 (SCAN, PBEsol geometry); formation energy (no corrections) = -2.522 eV/atom; electronic total energy = -11.56 eV per atom
1.0
4.685 0.000 0.000
0.000 9.188 0.000
0.000 0.000 11.354
K Te F
4 4 20
Direct
0.004 0.250 0.000
0.004 0.250 0.500
0.996 0.750 0.000
0.996 0.750 0.500
0.373 0.563 0.250
0.373 0.937 0.750
0.627 0.063 0.250
0.627 0.437 0.750
0.086 0.711 0.250
0.086 0.789 0.750
0.112 0.012 0.626
0.112 0.012 0.874
0.112 0.488 0.126
0.112 0.488 0.374
0.480 0.196 0.126
0.480 0.196 0.374
0.480 0.304 0.626
0.480 0.304 0.874
0.520 0.696 0.126
0.520 0.696 0.374
0.520 0.804 0.626
0.520 0.804 0.874
0.888 0.512 0.626
0.888 0.512 0.874
0.888 0.988 0.126
0.888 0.988 0.374
0.914 0.211 0.250
0.914 0.289 0.750

=====

# 4
K3TeF (SCAN, PBEsol geometry); formation energy (no corrections) = -1.911 eV/atom; electronic total energy = -15.07 eV per atom
1.0
5.219 0.000 0.000
0.000 5.219 0.000
0.000 0.000 5.219
K Te F
3 1 1
Direct
0.000 0.000 0.500
0.000 0.500 0.000
0.500 0.000 0.000
0.500 0.500 0.500
0.000 0.000 0.000

=====

Number 4 is which compound? K3TeF